The following is a DFT calculation (PBE-GGA) of Tl2HgS4 after structural relaxation.

Cell lengths 6.208, 6.208, 10.057 Å; angles 90.00, 90.00, 113.81 degrees
Element x y z (fractional)
Tl (0.199, 0.791, 0.000)
Tl (0.209, 0.801, 0.500)
Tl (0.791, 0.199, 0.500)
Tl (0.801, 0.209, 0.000)
Hg (0.500, 0.500, 0.250)
Hg (0.500, 0.500, 0.750)
S (0.000, 0.500, 0.190)
S (0.000, 0.500, 0.810)
S (0.234, 0.368, 0.500)
S (0.368, 0.234, 0.000)
S (0.500, 0.000, 0.310)
S (0.500, 0.000, 0.690)
S (0.632, 0.766, 0.000)
S (0.766, 0.632, 0.500)

Summary:
Its density of states at the Fermi level is 3.56 states/eV per cell. The density comes out at 6.91 g cm⁻³. As for the raw formation energy: 93 meV per atom. The total energy is -2.98 eV per atom. The calculation puts the magnetic moment at 0.0 μB per cell.